Run i
Cd5Sn2 | GGA-PBE | relaxed

a b c (Å): 5.249 7.436 9.251
angles (deg): 93.38 106.48 90.00
Sites, in units of the cell vectors:
Sn: 0.308 0.403 0.848
Sn: 0.460 0.097 0.152
Sn: 0.692 0.597 0.152
Sn: 0.540 0.903 0.848
Cd: 0.851 0.317 0.435
Cd: 0.972 0.047 0.699
Cd: 0.584 0.817 0.435
Cd: 0.273 0.453 0.301
Cd: 0.894 0.250 0.000
Cd: 0.727 0.547 0.699
Cd: 0.106 0.750 0.000
Cd: 0.149 0.683 0.565
Cd: 0.416 0.183 0.565
Cd: 0.028 0.953 0.301

N(E_F): 0.349 states/eV/atom
Calculated volume: 24.68 Å³/atom
Space-group type: C2/c



Run ii
Cd5Sn2 | GGA-PBE | relaxed

a b c (Å): 4.621 5.702 7.188
angles (deg): 99.16 90.00 113.91
Sites, in units of the cell vectors:
Cd: 0.500 0.000 0.500
Cd: 0.647 0.294 0.925
Cd: 0.784 0.568 0.353
Cd: 0.353 0.706 0.075
Cd: 0.216 0.432 0.647
Sn: 0.070 0.140 0.219
Sn: 0.930 0.860 0.781

N(E_F): 0.269 states/eV/atom
Calculated volume: 24.36 Å³/atom
Space-group type: C2/m



If we sort the structures by their calculated energies, the order from most to least stable is run ii, run i.